Record 1
Density functional theory data (PBE) for SrY2Pt after structural relaxation.

Results
Formation enthalpy at 0 K, eV/atom: -0.511
N(E_F), states/eV/cell: 4.0
Energy, eV/cell: -22.7
Symmetry: Immm (71)
ΔE to the lowest computed polymorph, eV/f.u.: 0.203

The structure in extended XYZ format:
```
4
Lattice="-1.843 2.866 5.785 1.843 -2.866 5.785 1.843 2.866 -5.785" Properties=species:S:1:pos:R:3 pbc="T T T"
Sr 0.000 0.000 0.000
Y 1.843 0.000 3.612
Y 0.000 2.866 2.173
Pt 0.000 0.000 5.785
```

---

Record 2
Density functional theory data (PBE) for SrY2Pt after structural relaxation.

Results
Formation enthalpy at 0 K, eV/atom: -0.562
N(E_F), states/eV/cell: 3.3
Energy, eV/cell: -22.9
Symmetry: R3m (160)
ΔE to the lowest computed polymorph, eV/f.u.: 0.000

The structure in extended XYZ format:
```
4
Lattice="2.097 1.211 9.372 -2.097 1.211 9.372 0.000 -2.422 9.372" Properties=species:S:1:pos:R:3 pbc="T T T"
Sr 0.000 0.000 0.000
Y 0.000 0.000 15.454
Y 0.000 0.000 21.960
Pt 0.000 0.000 4.652
```

---

Record 3
Density functional theory data (PBE) for Sr2YZn3Pt4 after structural relaxation.

Results
Formation enthalpy at 0 K, eV/atom: -0.757
N(E_F), states/eV/cell: 4.1
Energy, eV/cell: -45.4
Symmetry: P-4m2 (115)

The structure in extended XYZ format:
```
10
Lattice="4.338 0.000 0.000 0.000 4.338 0.000 0.000 0.000 11.473" Properties=species:S:1:pos:R:3 pbc="T T T"
Sr 0.000 2.169 2.558
Sr 2.169 0.000 8.915
Y 0.000 0.000 5.736
Zn 0.000 2.169 10.077
Zn 2.169 0.000 1.395
Zn 2.169 2.169 5.736
Pt 0.000 0.000 0.000
Pt 0.000 2.169 7.494
Pt 2.169 0.000 3.979
Pt 2.169 2.169 0.000
```

---

Record 4
Density functional theory data (PBE) for Sr3Zn2Pt2 after structural relaxation.

Results
Formation enthalpy at 0 K, eV/atom: -0.651
N(E_F), states/eV/cell: 9.0
Energy, eV/cell: -96.9
Symmetry: Pbcm (57)

The structure in extended XYZ format:
```
28
Lattice="6.051 0.000 0.000 0.000 8.177 0.000 0.000 0.000 14.622" Properties=species:S:1:pos:R:3 pbc="T T T"
Sr 0.760 2.031 3.655
Sr 0.760 2.057 10.966
Sr 2.147 4.924 8.729
Sr 2.147 4.924 13.203
Sr 2.147 7.341 1.418
Sr 2.147 7.341 5.893
Sr 3.904 0.836 8.729
Sr 3.904 0.836 13.203
Sr 3.904 3.252 1.418
Sr 3.904 3.252 5.893
Sr 5.291 6.119 3.655
Sr 5.291 6.145 10.966
Zn 0.657 2.044 0.000
Zn 0.657 2.044 7.311
Zn 2.089 4.876 3.655
Zn 2.089 7.389 10.966
Zn 3.962 0.788 3.655
Zn 3.962 3.301 10.966
Zn 5.394 6.132 0.000
Zn 5.394 6.132 7.311
Pt 0.859 4.330 1.397
Pt 0.859 4.330 5.914
Pt 0.859 7.934 8.708
Pt 0.859 7.934 13.225
Pt 5.192 0.242 1.397
Pt 5.192 0.242 5.914
Pt 5.192 3.846 8.708
Pt 5.192 3.846 13.225
```